Entry 1:
First-principles (PBEsol) data for a geometry-optimized AlGaTe2 structure, as listed in Alexandria.

For the formation energy without anion corrections, the calculation gives 1 meV/atom. The density is 5021 kg/m3. The total magnetization is 0.000 μB/atom. The raw total energy is -3.620 eV per atom.

It has space group R-3m (No. 166, hexagonal axes), with a = 3.7473 Å, b = 3.7473 Å, c = 28.7085 Å, α = 90.00°, β = 90.00° and γ = 120.00°. The inequivalent atoms are Al at (0.0000, 0.0000, 0.0000), Ga at (0.0000, 0.0000, 0.5000) and Te at (0.0000, 0.0000, 0.3920).

=====

Entry 2:
First-principles (PBEsol) data for a geometry-optimized Ti2AlGa2 structure, as listed in Alexandria.

The density is 5550 kg/m3. The total magnetization is 0.000 μB/atom. The calculation puts the formation energy at -420 meV per atom. The raw total energy is -5.904 eV per atom.

It has space group P4/mbm (No. 127), with a = 6.5133 Å, b = 6.5133 Å, c = 3.6981 Å, α = 90.00°, β = 90.00° and γ = 90.00°. The inequivalent atoms are Ti at (0.1733, 0.3267, 0.0000), Al at (0.0000, 0.0000, 0.5000) and Ga at (0.1298, 0.6298, 0.5000).

=====

Entry 3:
First-principles (PBEsol) data for a geometry-optimized Ti2AlZnGa structure, as listed in Alexandria.

The density is 4529 kg/m3. The total magnetization is 0.000 μB/atom. The calculation puts the formation energy at 510 meV per atom. The raw total energy is -4.622 eV per atom.

It has space group P4/mmm (No. 123), with a = 4.6429 Å, b = 4.6429 Å, c = 4.3858 Å, α = 90.00°, β = 90.00° and γ = 90.00°. The inequivalent atoms are Ti at (0.0000, 0.5000, 0.0000), Al at (0.0000, 0.0000, 0.5000), Zn at (0.0000, 0.0000, 0.0000) and Ga at (0.5000, 0.5000, 0.5000).

=====

Entry 4:
First-principles (PBEsol) data for a geometry-optimized Al2TlGa2 structure, as listed in Alexandria.

The density is 6529 kg/m3. The total magnetization is 0.000 μB/atom. The calculation puts the formation energy at 49 meV per atom. The raw total energy is -3.450 eV per atom.

It has space group I4/mmm (No. 139), with a = 4.2370 Å, b = 4.2370 Å, c = 11.2717 Å, α = 90.00°, β = 90.00° and γ = 90.00°. The inequivalent atoms are Al at (0.0000, 0.5000, 0.2500), Tl at (0.0000, 0.0000, 0.0000) and Ga at (0.0000, 0.0000, 0.3898).

=====

Entry 5:
First-principles (PBEsol) data for a geometry-optimized AlTlGa2 structure, as listed in Alexandria.

The density is 7450 kg/m3. The total magnetization is 0.000 μB/atom. The calculation puts the formation energy at 181 meV per atom. The raw total energy is -3.170 eV per atom.

It has space group Fm-3m (No. 225), with a = 6.9145 Å, b = 6.9145 Å, c = 6.9145 Å, α = 90.00°, β = 90.00° and γ = 90.00°. The inequivalent atoms are Al at (0.0000, 0.0000, 0.0000), Tl at (0.0000, 0.0000, 0.5000) and Ga at (0.2500, 0.2500, 0.2500).

=====

Entry 6:
First-principles (PBEsol) data for a geometry-optimized TmAlGa structure, as listed in Alexandria.

The density is 7610 kg/m3. The total magnetization is 0.000 μB/atom. The calculation puts the formation energy at -583 meV per atom. The raw total energy is -4.693 eV per atom.

It has space group C2/m (No. 12), with a = 10.3798 Å, b = 4.2158 Å, c = 6.8398 Å, α = 90.00°, β = 129.23° and γ = 90.00°. The inequivalent atoms are Tm at (0.0584, 0.0000, 0.3122), Al at (0.1635, 0.5000, 0.1009) and Ga at (0.1603, 0.5000, 0.6999).

=====

Question: Number 3 is which compound?
Answer: Ti2AlZnGa

=====

Question: raw total energy of number 5 (AlTlGa2)?
Answer: -3.170 eV per atom

=====

Question: The lowest raw total energy belongs to which entry?
Answer: Ti2AlGa2